(w)
Density functional theory data (PBE) for crystalline CaLa3Os at its relaxed geometry.

Lattice parameters (Å, degrees): 7.6605 7.6605 7.6612 107.97 107.97 112.48
Fractional coordinates of all 10 atoms:
Ca: 0.0000 0.0000 0.0000
Ca: 0.4605 0.4623 0.6106
La: 0.0479 0.5521 0.1036
La: 0.0538 0.9638 0.5052
La: 0.4651 0.8676 0.0146
La: 0.4986 0.4075 0.1058
La: 0.5950 0.9988 0.5991
La: 0.9101 0.4160 0.5103
Os: 0.1257 0.3367 0.8062
Os: 0.3941 0.0683 0.3062

---

(x)
Density functional theory data (PBE) for crystalline CaLa3Os at its relaxed geometry.

Lattice parameters (Å, degrees): 10.6291 10.6291 10.6291 146.05 146.05 48.78
Fractional coordinates of all 10 atoms:
Ca: 0.2036 0.2036 0.0000
Ca: 0.7964 0.7964 0.0000
La: 0.0295 0.5295 0.5000
La: 0.1212 0.3711 0.7501
La: 0.4705 0.9705 0.5000
La: 0.6209 0.3711 0.2499
La: 0.6289 0.3791 0.7501
La: 0.6289 0.8788 0.2499
Os: 0.5000 0.5000 0.0000
Os: 0.7500 0.2500 0.5000

---

(y)
Density functional theory data (PBE) for crystalline CaLa3Os at its relaxed geometry.

Lattice parameters (Å, degrees): 9.6125 6.9924 13.2813 90.00 130.05 90.00
Fractional coordinates of all 20 atoms:
Ca: 0.2471 0.0251 0.0925
Ca: 0.2471 0.4749 0.5925
Ca: 0.7529 0.5251 0.4075
Ca: 0.7529 0.9749 0.9075
La: 0.1125 0.2458 0.7729
La: 0.1125 0.2542 0.2729
La: 0.2729 0.5282 0.1053
La: 0.2729 0.9718 0.6053
La: 0.3963 0.7408 0.4065
La: 0.3963 0.7592 0.9065
La: 0.6037 0.2408 0.0935
La: 0.6037 0.2592 0.5935
La: 0.7271 0.0282 0.3947
La: 0.7271 0.4718 0.8947
La: 0.8875 0.7458 0.7271
La: 0.8875 0.7542 0.2271
Os: 0.4302 0.2039 0.8306
Os: 0.4302 0.2961 0.3306
Os: 0.5698 0.7039 0.6694
Os: 0.5698 0.7961 0.1694

---

(z)
Density functional theory data (PBE) for crystalline CaLa3Os at its relaxed geometry.

Lattice parameters (Å, degrees): 3.9946 10.4679 10.4679 42.26 90.00 90.00
Fractional coordinates of all 5 atoms:
Ca: 0.0000 0.0000 0.0000
La: 0.0000 0.4286 0.9314
La: 0.0000 0.9314 0.4286
La: 0.5000 0.8267 0.8267
Os: 0.5000 0.6941 0.6941

---

Last place for stability: (z)